DFT (PBEsol) results for crystalline Ca2Tl2Pb at its relaxed geometry.

Unit cell a=4.9342 b=4.9342 c=7.4089 alpha=109.45 beta=109.45 gamma=90.00
With the nearest neighbours (Å) after each atom.
Sites, in units of the cell vectors:
Tl1 0.6033 0.6033 0.2066  1 Tl 2.70
Ca1 0.2500 0.7500 0.5000  4 Tl 3.12, 4 Ca 3.49
Tl2 0.3967 0.3967 0.7934  1 Tl 2.70
Pb1 0.0000 0.0000 0.0000  8 Tl 3.74, 8 Ca 4.09
Ca2 0.7500 0.2500 0.5000  4 Tl 3.12, 4 Ca 3.49

Energy above the lowest structure with this stoichiometry = 0.301 eV/atom
Space-group type = I4/mmm (139)
Calculated total energy = -2.782 eV/atom
Energy relative to the elements = -0.0773 eV per atom

=====

DFT (PBEsol) results for crystalline LaCo3Sn at its relaxed geometry.

Unit cell a=4.6591 b=4.6591 c=4.6591 alpha=90.00 beta=90.00 gamma=90.00
With the nearest neighbours (Å) after each atom.
Sites, in units of the cell vectors:
Sn1 0.0000 0.0000 0.0000  6 Co 2.33
Co1 0.0000 0.5000 0.0000  2 Sn 2.33
Co2 0.5000 0.0000 0.0000  2 Sn 2.33
La1 0.5000 0.5000 0.5000  12 Co 3.29
Co3 0.0000 0.0000 0.5000  2 Sn 2.33

Space-group type = Pm-3m (221)
Calculated total energy = -5.897 eV/atom
Energy relative to the elements = 0.6659 eV per atom

=====

DFT (PBEsol) results for crystalline MgBeFe2 at its relaxed geometry.

Unit cell a=4.0177 b=4.0177 c=4.0159 alpha=120.02 beta=120.02 gamma=90.00
With the nearest neighbours (Å) after each atom.
Sites, in units of the cell vectors:
Fe1 0.7500 0.2500 0.5000  4 Fe 2.46, 4 Mg 2.46
Be1 0.2500 0.7500 0.5000  4 Fe 2.46, 4 Mg 2.46
Mg1 0.5000 0.5000 0.0000  4 Fe 2.46, 4 Be 2.46
Fe2 0.0000 0.0000 0.0000  4 Fe 2.46, 4 Be 2.46

Energy above the lowest structure with this stoichiometry = 0.106 eV/atom
Space-group type = F-43m (216)
Calculated total energy = -5.689 eV/atom
Energy relative to the elements = 0.2217 eV per atom

=====

DFT (PBEsol) results for crystalline BaHgW at its relaxed geometry.

Unit cell a=5.2930 b=5.2930 c=5.2930 alpha=60.00 beta=60.00 gamma=60.00
With the nearest neighbours (Å) after each atom.
Sites, in units of the cell vectors:
W1 0.5000 0.5000 0.5000  4 Ba 3.24
Ba1 0.2500 0.2500 0.2500  4 W 3.24, 4 Hg 3.24
Hg1 0.0000 0.0000 0.0000  4 Ba 3.24

Energy above the lowest structure with this stoichiometry = 1.025 eV/atom
Space-group type = F-43m (216)
Calculated total energy = -3.581 eV/atom
Energy relative to the elements = 1.9265 eV per atom

=====

DFT (PBEsol) results for crystalline EuGa3Ni2 at its relaxed geometry.

Unit cell a=5.0714 b=6.2501 c=6.2501 alpha=103.52 beta=90.00 gamma=90.00
With the nearest neighbours (Å) after each atom.
Sites, in units of the cell vectors:
Ga1 0.2500 0.0885 0.4686  4 Ni 2.36-2.51, 1 Ga 2.55
Ga2 0.7500 0.9452 0.9452  4 Ni 2.43, 4 Ga 2.55-2.67
Ni1 0.0000 0.2070 0.7930  6 Ga 2.36-2.51, 2 Ni 2.54
Ga3 0.7500 0.9115 0.5314  4 Ni 2.36-2.51, 1 Ga 2.55
Ni2 0.0000 0.7930 0.2070  6 Ga 2.36-2.51, 2 Ni 2.54
Ni3 0.5000 0.2070 0.7930  6 Ga 2.36-2.51, 2 Ni 2.54
Eu1 0.2500 0.6536 0.6536  11 Ga 3.10-3.45, 4 Ni 3.36, 2 Eu 3.48
Ni4 0.5000 0.7930 0.2070  6 Ga 2.36-2.51, 2 Ni 2.54
Ga4 0.7500 0.5314 0.9115  4 Ni 2.36-2.51, 1 Ga 2.55
Eu2 0.7500 0.3464 0.3464  11 Ga 3.10-3.45, 4 Ni 3.36, 2 Eu 3.48
Ga5 0.2500 0.4686 0.0885  4 Ni 2.36-2.51, 1 Ga 2.55
Ga6 0.2500 0.0548 0.0548  4 Ni 2.43, 4 Ga 2.55-2.67

Space-group type = Cmcm (63)
Calculated total energy = -6.055 eV/atom
Energy relative to the elements = -0.5724 eV per atom

=====

DFT (PBEsol) results for crystalline CrTe2I at its relaxed geometry.

Unit cell a=3.9034 b=6.9929 c=9.3041 alpha=99.67 beta=90.00 gamma=106.21
With the nearest neighbours (Å) after each atom.
Sites, in units of the cell vectors:
Cr1 0.8077 0.6155 0.1705  4 Te 2.66-2.71, 2 I 2.76
I1 0.5474 0.0949 0.7488  2 Cr 2.76
Te1 0.8278 0.6555 0.8915  3 Cr 2.66
Te2 0.1722 0.3445 0.1085  3 Cr 2.66
Cr2 0.1923 0.3845 0.8295  4 Te 2.66-2.71, 2 I 2.76
Te3 0.1818 0.3637 0.5364  1 Cr 2.71, 2 Te 2.84
I2 0.4526 0.9051 0.2512  2 Cr 2.76
Te4 0.8182 0.6363 0.4636  1 Cr 2.71, 2 Te 2.84

Space-group type = C2/m (12)
Calculated total energy = -4.910 eV/atom
E_form (uncorrected) = -0.1449 eV/atom

=====

DFT (PBEsol) results for crystalline HfSiPd2 at its relaxed geometry.

Unit cell a=3.8944 b=3.8944 c=9.2295 alpha=102.18 beta=102.18 gamma=90.00
With the nearest neighbours (Å) after each atom.
Sites, in units of the cell vectors:
Hf1 0.0000 0.0000 0.0000  4 Pd 2.63, 4 Si 2.75
Pd1 0.3935 0.8750 0.2500  2 Si 2.57, 2 Hf 2.63, 4 Pd 2.65-2.86
Pd2 0.1250 0.1435 0.7500  2 Si 2.57, 2 Hf 2.63, 4 Pd 2.65-2.86
Pd3 0.8565 0.3750 0.2500  2 Si 2.57, 2 Hf 2.63, 4 Pd 2.65-2.86
Hf2 0.2500 0.7500 0.5000  4 Pd 2.63, 4 Si 2.75
Pd4 0.6250 0.6065 0.7500  2 Si 2.57, 2 Hf 2.63, 4 Pd 2.65-2.86
Si1 0.5000 0.5000 0.0000  4 Pd 2.57, 4 Hf 2.75
Si2 0.7500 0.2500 0.5000  4 Pd 2.57, 4 Hf 2.75

Space-group type = I-42d (122)
Calculated total energy = -7.494 eV/atom
E_form (uncorrected) = -0.4517 eV/atom

=====

DFT (PBEsol) results for crystalline Mn2CoOs at its relaxed geometry.

Unit cell a=3.5781 b=3.5781 c=4.3698 alpha=114.17 beta=114.17 gamma=90.00
With the nearest neighbours (Å) after each atom.
Sites, in units of the cell vectors:
Os1 0.5000 0.5000 0.0000  8 Mn 2.52-2.53, 4 Co 2.52
Mn1 0.7500 0.2500 0.5000  4 Mn 2.52, 4 Os 2.52, 4 Co 2.53
Mn2 0.0000 0.0000 0.0000  4 Mn 2.52, 4 Co 2.52, 4 Os 2.53
Co1 0.2500 0.7500 0.5000  8 Mn 2.52-2.53, 4 Os 2.52

Space-group type = I-4m2 (119)
Calculated total energy = -9.843 eV/atom
Energy relative to the elements = 0.0261 eV per atom

=====

DFT (PBEsol) results for crystalline Tm2Al9Rh3 at its relaxed geometry.

Unit cell a=7.4524 b=7.4524 c=9.3355 alpha=90.00 beta=90.00 gamma=119.37
With the nearest neighbours (Å) after each atom.
Sites, in units of the cell vectors:
Al1 0.4475 0.6598 0.2500  2 Rh 2.52, 4 Al 2.73-2.77
Al2 0.6641 0.0001 0.4241  3 Rh 2.51-2.60, 3 Al 2.72-2.77
Al3 0.8727 0.8727 0.2500  2 Rh 2.52, 6 Al 2.72-2.76
Al4 0.3359 0.9999 0.9241  3 Rh 2.51-2.60, 3 Al 2.72-2.77
Al5 0.5525 0.3402 0.7500  2 Rh 2.52, 4 Al 2.73-2.77
Al6 0.6678 0.6678 0.5515  3 Rh 2.54-2.60, 5 Al 2.70-2.84
Tm1 0.6728 0.9945 0.7500  11 Al 3.00-3.12
Al7 0.0001 0.6641 0.0759  3 Rh 2.51-2.60, 3 Al 2.72-2.77
Tm2 0.3272 0.0055 0.2500  11 Al 3.00-3.12
Rh1 0.3277 0.6723 0.0000  8 Al 2.51-2.60
Al8 0.9999 0.3359 0.5759  3 Rh 2.51-2.60, 3 Al 2.72-2.77
Rh2 0.0000 0.0000 0.5000  8 Al 2.52-2.60
Al9 0.1273 0.1273 0.7500  2 Rh 2.52, 6 Al 2.72-2.76
Al10 0.3322 0.3322 0.0515  3 Rh 2.54-2.60, 5 Al 2.70-2.84
Al11 0.0001 0.6641 0.4241  3 Rh 2.51-2.60, 3 Al 2.72-2.77
Tm3 0.9945 0.6728 0.7500  11 Al 3.00-3.12
Al12 0.6678 0.6678 0.9485  3 Rh 2.54-2.60, 5 Al 2.70-2.84
Al13 0.3359 0.9999 0.5759  3 Rh 2.51-2.60, 3 Al 2.72-2.77
Al14 0.6641 0.0001 0.0759  3 Rh 2.51-2.60, 3 Al 2.72-2.77
Al15 0.3402 0.5525 0.7500  2 Rh 2.52, 4 Al 2.73-2.77
Rh3 0.6723 0.3277 0.5000  8 Al 2.51-2.60
Tm4 0.0055 0.3272 0.2500  11 Al 3.00-3.12
Al16 0.6598 0.4475 0.2500  2 Rh 2.52, 4 Al 2.73-2.77
Al17 0.9999 0.3359 0.9241  3 Rh 2.51-2.60, 3 Al 2.72-2.77
Rh4 0.6723 0.3277 0.0000  8 Al 2.51-2.60
Al18 0.3322 0.3322 0.4485  3 Rh 2.54-2.60, 5 Al 2.70-2.84
Rh5 0.3277 0.6723 0.5000  8 Al 2.51-2.60
Rh6 0.0000 0.0000 0.0000  8 Al 2.52-2.60

Space-group type = Cmcm (63)
Calculated total energy = -5.899 eV/atom
Energy relative to the elements = -0.8248 eV per atom

=====

DFT (PBEsol) results for crystalline RuPtS2 at its relaxed geometry.

Unit cell a=5.2619 b=5.2619 c=6.3925 alpha=114.30 beta=114.30 gamma=90.00
With the nearest neighbours (Å) after each atom.
Sites, in units of the cell vectors:
S1 0.8589 0.3750 0.2500  2 Ru 2.22, 2 Pt 2.32
Pt1 0.2500 0.7500 0.5000  4 S 2.32
S2 0.3911 0.8750 0.2500  2 Ru 2.22, 2 Pt 2.32
S3 0.1250 0.1411 0.7500  2 Ru 2.22, 2 Pt 2.32
Ru1 0.7500 0.2500 0.5000  4 S 2.22
Pt2 0.0000 0.0000 0.0000  4 S 2.32
Ru2 0.5000 0.5000 0.0000  4 S 2.22
S4 0.6250 0.6089 0.7500  2 Ru 2.22, 2 Pt 2.32

Energy above the lowest structure with this stoichiometry = 0.064 eV/atom
Space-group type = I-42d (122)
Calculated total energy = -6.562 eV/atom
E_form (uncorrected) = -0.0857 eV/atom

=====

DFT (PBEsol) results for crystalline Tl2SiMo at its relaxed geometry.

Unit cell a=3.2382 b=3.2382 c=9.2071 alpha=79.87 beta=79.87 gamma=60.00
With the nearest neighbours (Å) after each atom.
Sites, in units of the cell vectors:
Si1 0.2364 0.2364 0.2907  3 Mo 2.45
Tl1 0.7607 0.7607 0.7178  3 Mo 2.94, 6 Tl 3.24
Tl2 0.9913 0.9913 0.0260  3 Si 3.03, 9 Tl 3.24-3.35
Mo1 0.5115 0.5115 0.4655  3 Si 2.45

Energy above the lowest structure with this stoichiometry = 0.000 eV/atom
Space-group type = R3m (160)
Calculated total energy = -5.355 eV/atom
E_form (uncorrected) = 0.3384 eV/atom

=====

DFT (PBEsol) results for crystalline FeHPd3 at its relaxed geometry.

Unit cell a=3.8901 b=3.8901 c=3.8901 alpha=90.00 beta=90.00 gamma=90.00
With the nearest neighbours (Å) after each atom.
Sites, in units of the cell vectors:
H1 0.0000 0.0000 0.0000  6 Pd 1.95
Fe1 0.5000 0.5000 0.5000  12 Pd 2.75
Pd1 0.5000 0.0000 0.0000  2 H 1.95
Pd2 0.0000 0.0000 0.5000  2 H 1.95
Pd3 0.0000 0.5000 0.0000  2 H 1.95

Space-group type = Pm-3m (221)
Calculated total energy = -6.102 eV/atom